Record 1
Computed, not measured: a geometry-optimized Ba2InTc structure at the PBE-GGA level of DFT.

Cell lengths 12.601, 4.055, 5.700 Å; angles 90.00, 116.76, 90.00 degrees
Space group Cm (No. 8)
Inequivalent atoms, fractional coordinates:
Ba: 0.000 0.000 0.000 x2
Ba: 0.195 0.000 0.694 x2
In: 0.406 0.000 0.406 x2
Tc: 0.249 0.500 0.247 x2

Results
formation enthalpy at 0 K = 0.386 eV per atom
total magnetic moment = 0.4 Bohr magnetons per cell
relative energy among the computed polymorphs = 86 meV per atom
calculated volume = 32.513 Å³ per atom

Record 2
Computed, not measured: a geometry-optimized BaInTc3 structure at the PBE-GGA level of DFT.

Cell lengths 5.153, 5.153, 5.153 Å; angles 90.00, 90.00, 90.00 degrees
Space group Pm-3m (No. 221)
Inequivalent atoms, fractional coordinates:
Ba: 0.000 0.000 0.000 x1
In: 0.500 0.500 0.500 x1
Tc: 0.000 0.500 0.500 x3

Results
formation enthalpy at 0 K = 1.762 eV per atom
total magnetic moment = 7.8 Bohr magnetons per cell
relative energy among the computed polymorphs = 0 meV per atom
calculated volume = 27.372 Å³ per atom

Record 3
Computed, not measured: a geometry-optimized BaInTc2 structure at the PBE-GGA level of DFT.

Cell lengths 6.534, 9.495, 3.014 Å; angles 90.00, 116.23, 90.00 degrees
Space group C2/m (No. 12)
Inequivalent atoms, fractional coordinates:
Ba: 0.000 0.000 0.000 x2
In: 0.000 0.500 0.000 x2
Tc: 0.250 0.250 0.500 x4

Results
formation enthalpy at 0 K = 1.066 eV per atom
total magnetic moment = 0.0 Bohr magnetons per cell
relative energy among the computed polymorphs = 854 meV per atom
calculated volume = 20.968 Å³ per atom

Record 4
Computed, not measured: a geometry-optimized BaInTc2 structure at the PBE-GGA level of DFT.

Cell lengths 6.959, 6.959, 6.959 Å; angles 90.00, 90.00, 90.00 degrees
Space group Fm-3m (No. 225)
Inequivalent atoms, fractional coordinates:
Ba: 0.000 0.000 0.000 x4
In: 0.000 0.000 0.500 x4
Tc: 0.250 0.250 0.250 x8

Results
formation enthalpy at 0 K = 1.038 eV per atom
total magnetic moment = 8.7 Bohr magnetons per cell
relative energy among the computed polymorphs = 825 meV per atom
calculated volume = 21.066 Å³ per atom

Record 5
Computed, not measured: a geometry-optimized BaInTc2 structure at the PBE-GGA level of DFT.

Cell lengths 4.985, 4.985, 7.026 Å; angles 90.00, 90.00, 90.00 degrees
Space group I-4m2 (No. 119)
Inequivalent atoms, fractional coordinates:
Ba: 0.000 0.000 0.000 x2
In: 0.000 0.500 0.250 x2
Tc: 0.000 0.000 0.500 x2
Tc: 0.000 0.500 0.750 x2

Results
formation enthalpy at 0 K = 1.027 eV per atom
total magnetic moment = 0.0 Bohr magnetons per cell
relative energy among the computed polymorphs = 814 meV per atom
calculated volume = 21.825 Å³ per atom

Record 6
Computed, not measured: a geometry-optimized Ba2InTc structure at the PBE-GGA level of DFT.

Cell lengths 3.727, 4.286, 8.352 Å; angles 90.00, 90.00, 90.00 degrees
Space group Pmmm (No. 47)
Inequivalent atoms, fractional coordinates:
Ba: 0.000 0.000 0.226 x2
In: 0.500 0.500 0.500 x1
Tc: 0.500 0.500 0.000 x1

Results
formation enthalpy at 0 K = 0.556 eV per atom
total magnetic moment = 2.0 Bohr magnetons per cell
relative energy among the computed polymorphs = 257 meV per atom
calculated volume = 33.359 Å³ per atom